# Sr2TiBiRh PBE-GGA relaxed
# **Spin magnetization**: 3.6 Bohr magnetons per cell
# **Volume**: 36.355 Å³ per atom
# **E_form**: 822 meV per atom
# **VASP energy**: -0.2702 Ry per atom
data_Sr2TiBiRh
_chemical_formula_sum 'Sr2 Ti1 Bi1 Rh1'
_cell_length_a 5.912
_cell_length_b 5.200
_cell_length_c 5.912
_cell_angle_alpha 90.00
_cell_angle_beta 90.00
_cell_angle_gamma 90.00
_space_group_name_H-M_alt 'P 1'
_space_group_IT_number 1
_space_group_name_Hall 'P 1'
loop_
_atom_site_label
_atom_site_type_symbol
_atom_site_fract_x
_atom_site_fract_y
_atom_site_fract_z
Ti1 Ti 0.000 0.000 0.000
Rh1 Rh 0.500 0.500 0.500
Sr1 Sr 0.000 0.000 0.500
Bi1 Bi 0.000 0.500 0.000
Sr2 Sr 0.500 0.000 0.000

---

# SrTl2BiRh PBE-GGA relaxed
# **Spin magnetization**: 0.3 Bohr magnetons per cell
# **Volume**: 31.682 Å³ per atom
# **E_form**: -157 meV per atom
# **VASP energy**: -0.2710 Ry per atom
# **Polymorph energy (0 for the lowest one)**: 0.04 eV/f.u.
data_SrTl2BiRh
_chemical_formula_sum 'Sr1 Tl2 Bi1 Rh1'
_cell_length_a 5.255
_cell_length_b 5.255
_cell_length_c 5.735
_cell_angle_alpha 90.00
_cell_angle_beta 90.00
_cell_angle_gamma 90.00
_space_group_name_H-M_alt 'P 1'
_space_group_IT_number 1
_space_group_name_Hall 'P 1'
loop_
_atom_site_label
_atom_site_type_symbol
_atom_site_fract_x
_atom_site_fract_y
_atom_site_fract_z
Bi1 Bi 0.500 0.500 0.500
Rh1 Rh 0.000 0.000 0.000
Tl1 Tl 0.500 0.000 0.000
Sr1 Sr 0.000 0.000 0.500
Tl2 Tl 0.000 0.500 0.000

---

# SrTl2BiRh PBE-GGA relaxed
# **Spin magnetization**: 0.0 Bohr magnetons per cell
# **Volume**: 31.140 Å³ per atom
# **E_form**: -164 meV per atom
# **VASP energy**: -0.2715 Ry per atom
# **Polymorph energy (0 for the lowest one)**: 0.00 eV/f.u.
data_SrTl2BiRh
_chemical_formula_sum 'Sr1 Tl2 Bi1 Rh1'
_cell_length_a 5.256
_cell_length_b 5.256
_cell_length_c 5.635
_cell_angle_alpha 90.00
_cell_angle_beta 90.00
_cell_angle_gamma 90.00
_space_group_name_H-M_alt 'P 1'
_space_group_IT_number 1
_space_group_name_Hall 'P 1'
loop_
_atom_site_label
_atom_site_type_symbol
_atom_site_fract_x
_atom_site_fract_y
_atom_site_fract_z
Rh1 Rh 0.000 0.000 0.000
Tl1 Tl 0.000 0.500 0.000
Tl2 Tl 0.500 0.000 0.000
Sr1 Sr 0.500 0.500 0.500
Bi1 Bi 0.000 0.000 0.500

---

# SrZrBi2Rh PBE-GGA relaxed
# **Spin magnetization**: 0.0 Bohr magnetons per cell
# **Volume**: 32.890 Å³ per atom
# **E_form**: 1176 meV per atom
# **VASP energy**: -0.2861 Ry per atom
data_SrZrBi2Rh
_chemical_formula_sum 'Sr1 Zr1 Bi2 Rh1'
_cell_length_a 5.867
_cell_length_b 4.777
_cell_length_c 5.867
_cell_angle_alpha 90.00
_cell_angle_beta 90.00
_cell_angle_gamma 90.00
_space_group_name_H-M_alt 'P 1'
_space_group_IT_number 1
_space_group_name_Hall 'P 1'
loop_
_atom_site_label
_atom_site_type_symbol
_atom_site_fract_x
_atom_site_fract_y
_atom_site_fract_z
Bi1 Bi 0.000 0.000 0.500
Zr1 Zr 0.500 0.500 0.500
Sr1 Sr 0.000 0.000 0.000
Rh1 Rh 0.000 0.500 0.000
Bi2 Bi 0.500 0.000 0.000

---

# Ta3BiRh PBE-GGA relaxed
# **Spin magnetization**: 0.0 Bohr magnetons per cell
# **Volume**: 23.131 Å³ per atom
# **E_form**: 948 meV per atom
# **VASP energy**: -0.6181 Ry per atom
# **Polymorph energy (0 for the lowest one)**: 0.00 eV/f.u.
data_Ta3BiRh
_chemical_formula_sum 'Ta3 Bi1 Rh1'
_cell_length_a 4.872
_cell_length_b 4.872
_cell_length_c 4.872
_cell_angle_alpha 90.00
_cell_angle_beta 90.00
_cell_angle_gamma 90.00
_space_group_name_H-M_alt 'P 1'
_space_group_IT_number 1
_space_group_name_Hall 'P 1'
loop_
_atom_site_label
_atom_site_type_symbol
_atom_site_fract_x
_atom_site_fract_y
_atom_site_fract_z
Bi1 Bi 0.500 0.500 0.500
Ta1 Ta 0.000 0.500 0.000
Ta2 Ta 0.000 0.000 0.500
Ta3 Ta 0.500 0.000 0.000
Rh1 Rh 0.000 0.000 0.000

---

# TaBi2Rh PBE-GGA relaxed
# **Spin magnetization**: 0.0 Bohr magnetons per cell
# **Volume**: 21.146 Å³ per atom
# **E_form**: 390 meV per atom
# **VASP energy**: -0.4669 Ry per atom
data_TaBi2Rh
_chemical_formula_sum 'Ta1 Bi2 Rh1'
_cell_length_a 4.927
_cell_length_b 4.927
_cell_length_c 4.927
_cell_angle_alpha 60.00
_cell_angle_beta 60.00
_cell_angle_gamma 60.00
_space_group_name_H-M_alt 'P 1'
_space_group_IT_number 1
_space_group_name_Hall 'P 1'
loop_
_atom_site_label
_atom_site_type_symbol
_atom_site_fract_x
_atom_site_fract_y
_atom_site_fract_z
Bi1 Bi 0.250 0.250 0.250
Bi2 Bi 0.750 0.750 0.750
Rh1 Rh 0.000 0.000 0.000
Ta1 Ta 0.500 0.500 0.500

---

> What is the spin magnetization in the sixth record?

0.0 Bohr magnetons per cell

---

> Look up the spin magnetization of the fifth one.

0.0 Bohr magnetons per cell